{
  "formula": "InCu2Ag",
  "functional": "PBE",
  "state": "optimized geometry",
  "lattice_angstrom": [[3.4001, 0.0000, 0.0000], [0.0000, 3.1990, 0.0041], [0.0000, 3.2272, 5.9065]],
  "species": ["Ag", "Cu", "Cu", "In"],
  "fractional_positions": [[0.5000, 0.7500, 0.7500], [0.0000, 0.4907, 0.5105], [0.0000, 0.0093, 0.9895], [0.5000, 0.2500, 0.2500]],
  "m_tot_mub_per_cell": 0.00,
  "formation_enthalpy_0k_ev_per_fu": 0.326,
  "dos_ef_per_ev_atom": 0.27,
  "sg": "P2/m, No. 10"
}